Record 1
The following is a PBE calculation of crystalline Sc2Mn17 at its relaxed geometry, from Alexandria.

Lattice parameters (Å, degrees): 6.1918 6.1918 6.1918 81.37 81.37 81.37
Element x y z (fractional)
Sc: 0.1559 0.1559 0.1559
Sc: 0.8441 0.8441 0.8441
Mn: 0.0000 0.5000 0.5000
Mn: 0.1571 0.1571 0.6568
Mn: 0.1571 0.6568 0.1571
Mn: 0.2007 0.5000 0.7993
Mn: 0.2007 0.7993 0.5000
Mn: 0.3432 0.8429 0.8429
Mn: 0.4094 0.4094 0.4094
Mn: 0.5000 0.0000 0.5000
Mn: 0.5000 0.2007 0.7993
Mn: 0.5000 0.5000 0.0000
Mn: 0.5000 0.7993 0.2007
Mn: 0.5906 0.5906 0.5906
Mn: 0.6568 0.1571 0.1571
Mn: 0.7993 0.2007 0.5000
Mn: 0.7993 0.5000 0.2007
Mn: 0.8429 0.3432 0.8429
Mn: 0.8429 0.8429 0.3432

Output
Formation energy from the elements ... 9 meV per atom
Magnetic moment ... 0.0 Bohr magnetons per cell

Record 2
The following is a PBE calculation of crystalline Zr2CdPb at its relaxed geometry, from Alexandria.

Lattice parameters (Å, degrees): 3.2375 4.3788 6.4080 90.00 90.11 90.00
Element x y z (fractional)
Zr: 0.0008 0.0000 0.2430
Zr: 0.9992 0.0000 0.7570
Cd: 0.5000 0.5000 0.0000
Pb: 0.5000 0.5000 0.5000

Output
Formation energy from the elements ... -140 meV per atom
Magnetic moment ... 0.0 Bohr magnetons per cell

Record 3
The following is a PBE calculation of crystalline DyTmScGa at its relaxed geometry, from Alexandria.

Lattice parameters (Å, degrees): 7.3155 7.3155 7.3155 90.00 90.00 90.00
Element x y z (fractional)
Dy: 0.0000 0.0000 0.0000
Dy: 0.0000 0.5000 0.5000
Dy: 0.5000 0.0000 0.5000
Dy: 0.5000 0.5000 0.0000
Tm: 0.0000 0.0000 0.5000
Tm: 0.0000 0.5000 0.0000
Tm: 0.5000 0.0000 0.0000
Tm: 0.5000 0.5000 0.5000
Sc: 0.2500 0.2500 0.7500
Sc: 0.2500 0.7500 0.2500
Sc: 0.7500 0.2500 0.2500
Sc: 0.7500 0.7500 0.7500
Ga: 0.2500 0.2500 0.2500
Ga: 0.2500 0.7500 0.7500
Ga: 0.7500 0.2500 0.7500
Ga: 0.7500 0.7500 0.2500

Output
Formation energy from the elements ... -137 meV per atom
Magnetic moment ... 2.6 Bohr magnetons per cell

Record 4
The following is a PBE calculation of crystalline KFeBr2 at its relaxed geometry, from Alexandria.

Lattice parameters (Å, degrees): 7.7162 7.7162 7.8273 90.00 90.00 90.00
Element x y z (fractional)
K: 0.0000 0.0000 0.0000
K: 0.0000 0.5000 0.2500
K: 0.5000 0.0000 0.7500
K: 0.5000 0.5000 0.5000
Fe: 0.0000 0.0000 0.5000
Fe: 0.0000 0.5000 0.7500
Fe: 0.5000 0.0000 0.2500
Fe: 0.5000 0.5000 0.0000
Br: 0.1647 0.2500 0.6250
Br: 0.2500 0.6647 0.8750
Br: 0.2500 0.8353 0.3750
Br: 0.3353 0.2500 0.1250
Br: 0.6647 0.7500 0.1250
Br: 0.7500 0.1647 0.3750
Br: 0.7500 0.3353 0.8750
Br: 0.8353 0.7500 0.6250

Output
Energy relative to the lowest polymorph listed for this composition ... 0.000 eV per atom
Magnetic moment ... 12.0 Bohr magnetons per cell

Record 5
The following is a PBE calculation of crystalline Er6Zn2Hg at its relaxed geometry, from Alexandria.

Lattice parameters (Å, degrees): 11.1496 11.1496 11.1496 154.45 154.45 36.45
Element x y z (fractional)
Er: 0.0870 0.5870 0.5000
Er: 0.2500 0.7500 0.5000
Er: 0.4130 0.9130 0.5000
Er: 0.5870 0.0870 0.5000
Er: 0.7500 0.2500 0.5000
Er: 0.9130 0.4130 0.5000
Zn: 0.1671 0.1671 0.0000
Zn: 0.8329 0.8329 0.0000
Hg: 0.5000 0.5000 0.0000

Output
Formation energy from the elements ... -27 meV per atom
Energy relative to the lowest polymorph listed for this composition ... 0.215 eV per atom
Magnetic moment ... 0.0 Bohr magnetons per cell

Record 6
The following is a PBE calculation of crystalline ZnFeP2 at its relaxed geometry, from Alexandria.

Lattice parameters (Å, degrees): 5.0719 6.7114 3.2586 90.00 100.65 90.00
Element x y z (fractional)
Zn: 0.0000 0.0000 0.0000
Zn: 0.5000 0.5000 0.0000
Fe: 0.0000 0.5000 0.0000
Fe: 0.5000 0.0000 0.0000
P: 0.2500 0.2500 0.5000
P: 0.2500 0.7500 0.5000
P: 0.7500 0.2500 0.5000
P: 0.7500 0.7500 0.5000

Output
Formation energy from the elements ... 275 meV per atom
Magnetic moment ... 3.7 Bohr magnetons per cell

Record 7
The following is a PBE calculation of crystalline LaMgOs2 at its relaxed geometry, from Alexandria.

Lattice parameters (Å, degrees): 4.6866 4.6866 18.1874 90.00 90.00 90.00
Element x y z (fractional)
La: 0.0000 0.0000 0.0000
La: 0.0000 0.5000 0.2500
La: 0.5000 0.0000 0.7500
La: 0.5000 0.5000 0.5000
Mg: 0.0000 0.0000 0.5000
Mg: 0.0000 0.5000 0.7500
Mg: 0.5000 0.0000 0.2500
Mg: 0.5000 0.5000 0.0000
Os: 0.0564 0.2500 0.6250
Os: 0.2500 0.5564 0.8750
Os: 0.2500 0.9436 0.3750
Os: 0.4436 0.2500 0.1250
Os: 0.5564 0.7500 0.1250
Os: 0.7500 0.0564 0.3750
Os: 0.7500 0.4436 0.8750
Os: 0.9436 0.7500 0.6250

Output
Formation energy from the elements ... 568 meV per atom
Magnetic moment ... 0.0 Bohr magnetons per cell

Record 8
The following is a PBE calculation of crystalline CaTe2IO at its relaxed geometry, from Alexandria.

Lattice parameters (Å, degrees): 6.1530 6.1530 6.0738 90.00 90.00 90.00
Element x y z (fractional)
Ca: 0.0000 0.0000 0.0000
Te: 0.0000 0.5000 0.0000
Te: 0.5000 0.0000 0.0000
I: 0.0000 0.0000 0.5000
O: 0.5000 0.5000 0.5000

Output
Energy relative to the lowest polymorph listed for this composition ... 1.011 eV per atom
Magnetic moment ... 1.0 Bohr magnetons per cell

Record 9
The following is a PBE calculation of crystalline Hf7Pb2S2 at its relaxed geometry, from Alexandria.

Lattice parameters (Å, degrees): 7.1845 7.1845 5.5101 110.57 110.57 83.37
Element x y z (fractional)
Hf: 0.0000 0.0000 0.0000
Hf: 0.1444 0.5131 0.8505
Hf: 0.3294 0.3294 0.2961
Hf: 0.4869 0.8556 0.1495
Hf: 0.5131 0.1444 0.8505
Hf: 0.6706 0.6706 0.7039
Hf: 0.8556 0.4869 0.1495
Pb: 0.2459 0.7541 0.5000
Pb: 0.7541 0.2459 0.5000
S: 0.1742 0.1742 0.5074
S: 0.8258 0.8258 0.4926

Output
Energy ... -7.875 eV per atom
Magnetic moment ... 0.0 Bohr magnetons per cell

Record 10
The following is a PBE calculation of crystalline Cs2AuI at its relaxed geometry, from Alexandria.

Lattice parameters (Å, degrees): 5.2718 5.2718 27.5825 90.00 90.00 120.00
Element x y z (fractional)
Cs: 0.0000 0.0000 0.0000
Cs: 0.0000 0.0000 0.1757
Cs: 0.3333 0.6667 0.6667
Cs: 0.3333 0.6667 0.8424
Cs: 0.6667 0.3333 0.3333
Cs: 0.6667 0.3333 0.5090
Au: 0.0000 0.0000 0.5876
Au: 0.3333 0.6667 0.2543
Au: 0.6667 0.3333 0.9210
I: 0.0000 0.0000 0.7548
I: 0.3333 0.6667 0.4215
I: 0.6667 0.3333 0.0881

Output
Energy relative to the lowest polymorph listed for this composition ... 0.015 eV per atom
Magnetic moment ... 0.0 Bohr magnetons per cell

Record 11
The following is a PBE calculation of crystalline NaCaEuIn at its relaxed geometry, from Alexandria.

Lattice parameters (Å, degrees): 8.0120 8.0120 8.0120 90.00 90.00 90.00
Element x y z (fractional)
Na: 0.0000 0.0000 0.0000
Na: 0.0000 0.5000 0.5000
Na: 0.5000 0.0000 0.5000
Na: 0.5000 0.5000 0.0000
Ca: 0.2500 0.2500 0.7500
Ca: 0.2500 0.7500 0.2500
Ca: 0.7500 0.2500 0.2500
Ca: 0.7500 0.7500 0.7500
Eu: 0.2500 0.2500 0.2500
Eu: 0.2500 0.7500 0.7500
Eu: 0.7500 0.2500 0.7500
Eu: 0.7500 0.7500 0.2500
In: 0.0000 0.0000 0.5000
In: 0.0000 0.5000 0.0000
In: 0.5000 0.0000 0.0000
In: 0.5000 0.5000 0.5000

Output
Formation energy from the elements ... -226 meV per atom
Magnetic moment ... 28.2 Bohr magnetons per cell

Record 12
The following is a PBE calculation of crystalline Gd2NiHg at its relaxed geometry, from Alexandria.

Lattice parameters (Å, degrees): 7.2203 7.2203 7.2203 90.00 90.00 90.00
Element x y z (fractional)
Gd: 0.2500 0.2500 0.2500
Gd: 0.2500 0.2500 0.7500
Gd: 0.2500 0.7500 0.2500
Gd: 0.2500 0.7500 0.7500
Gd: 0.7500 0.2500 0.2500
Gd: 0.7500 0.2500 0.7500
Gd: 0.7500 0.7500 0.2500
Gd: 0.7500 0.7500 0.7500
Ni: 0.0000 0.0000 0.0000
Ni: 0.0000 0.5000 0.5000
Ni: 0.5000 0.0000 0.5000
Ni: 0.5000 0.5000 0.0000
Hg: 0.0000 0.0000 0.5000
Hg: 0.0000 0.5000 0.0000
Hg: 0.5000 0.0000 0.0000
Hg: 0.5000 0.5000 0.5000

Output
Formation energy from the elements ... -335 meV per atom
Energy relative to the lowest polymorph listed for this composition ... 0.077 eV per atom
Magnetic moment ... 56.8 Bohr magnetons per cell

What is the magnetic moment in the first record?
0.0 Bohr magnetons per cell

Which value of magnetic moment does entry 8 give?
1.0 Bohr magnetons per cell